Compound: MgAsAu
Source: Alexandria via LeMat-Bulk
Functional: PBE
Structure: optimized geometry

abc: 4.371 4.414 7.774
angles: 99.66 90.03 119.46
Sites, in units of the cell vectors:
Mg (0.000, 0.000, 0.000)
Mg (0.100, 0.193, 0.483)
As (0.359, 0.715, 0.167)
As (0.818, 0.634, 0.640)
Au (0.306, 0.609, 0.826)
Au (0.720, 0.434, 0.293)

Values from the calculation:
ΔE_f	-297.3	meV per atom